[1]
ErSi2Se4 after structural relaxation, computed with PBE.

Unit cell a=6.267 b=6.267 c=6.267 alpha=106.43 beta=106.43 gamma=115.74
Positions (direct):
1 Se 0.684 0.826 0.510
2 Se 0.826 0.316 0.142
3 Se 0.316 0.174 0.490
4 Se 0.174 0.684 0.858
5 Si 0.750 0.250 0.500
6 Si 0.250 0.750 0.500
7 Er 0.500 0.500 0.000

M_tot	0.0	μB per formula unit
D(E_F)	3.151	states/eV/cell
calculated density	4.770	g cm⁻³
formation energy from raw total energies	-0.36	eV/atom



[2]
DyCrAs3 after structural relaxation, computed with PBE.

Unit cell a=5.594 b=5.649 c=12.002 alpha=90.00 beta=90.00 gamma=90.00
Positions (direct):
1 Cr 0.500 0.250 0.090
2 Cr 0.000 0.750 0.910
3 Cr 0.500 0.750 0.910
4 Cr 0.000 0.250 0.090
5 As 0.250 0.608 0.069
6 As 0.750 0.999 0.782
7 As 0.750 0.392 0.931
8 As 0.000 0.750 0.502
9 As 0.500 0.250 0.498
10 As 0.250 0.501 0.782
11 As 0.250 0.001 0.218
12 As 0.250 0.108 0.931
13 As 0.500 0.750 0.502
14 As 0.750 0.892 0.069
15 As 0.000 0.250 0.498
16 As 0.750 0.499 0.218
17 Dy 0.750 0.995 0.312
18 Dy 0.250 0.505 0.312
19 Dy 0.750 0.495 0.688
20 Dy 0.250 0.005 0.688

M_tot	1.6	μB per formula unit
D(E_F)	9.046	states/eV/cell
ΔH_f (0 K)	-0.6694	eV per atom
calculated density	7.693	g cm⁻³



[3]
ScTa2Cu after structural relaxation, computed with PBE.

Unit cell a=4.496 b=3.207 c=4.932 alpha=90.01 beta=90.00 gamma=90.00
Positions (direct):
1 Ta 0.000 0.875 0.125
2 Ta 0.500 0.375 0.125
3 Sc 0.500 0.875 0.625
4 Cu 0.000 0.375 0.625

M_tot	0.0	μB per formula unit
D(E_F)	4.043	states/eV/cell
ΔH_f (0 K)	0.1395	eV per atom
calculated density	10.983	g cm⁻³



[4]
Tm2UP3 after structural relaxation, computed with PBE.

Unit cell a=5.570 b=7.882 c=11.796 alpha=90.00 beta=90.00 gamma=89.99
Positions (direct):
1 Tm 0.749 0.624 0.249
2 Tm 0.750 0.624 0.917
3 Tm 0.250 0.876 0.417
4 Tm 0.251 0.376 0.751
5 Tm 0.749 0.124 0.251
6 Tm 0.750 0.124 0.583
7 Tm 0.251 0.876 0.749
8 Tm 0.250 0.376 0.083
9 P 0.751 0.876 0.750
10 P 0.250 0.625 0.584
11 P 0.250 0.129 0.581
12 P 0.750 0.371 0.081
13 P 0.250 0.629 0.919
14 P 0.250 0.125 0.916
15 P 0.750 0.375 0.416
16 P 0.249 0.624 0.250
17 P 0.751 0.376 0.750
18 P 0.750 0.871 0.419
19 P 0.750 0.875 0.084
20 P 0.249 0.124 0.250
21 U 0.750 0.125 0.917
22 U 0.750 0.625 0.583
23 U 0.250 0.875 0.083
24 U 0.250 0.375 0.417

M_tot	2.2	μB per formula unit
D(E_F)	29.216	states/eV/cell
ΔH_f (0 K)	-1.3847	eV per atom
calculated density	8.579	g cm⁻³



[5]
LaCr2Br after structural relaxation, computed with PBE.

Unit cell a=5.007 b=6.511 c=3.479 alpha=74.90 beta=89.01 gamma=112.33
Positions (direct):
1 Br 0.500 0.500 0.000
2 Cr 0.500 0.000 0.500
3 Cr 0.000 0.000 0.000
4 La 0.000 0.500 0.500

M_tot	8.7	μB per formula unit
D(E_F)	2.697	states/eV/cell
calculated density	5.337	g cm⁻³
formation energy from raw total energies	0.40	eV/atom



[6]
Pr5NdEr3 after structural relaxation, computed with PBE.

Unit cell a=6.312 b=11.135 c=11.670 alpha=124.25 beta=90.00 gamma=106.46
Positions (direct):
1 Er 0.000 0.000 0.500
2 Er 0.049 0.647 0.175
3 Er 0.402 0.353 0.325
4 Er 0.000 0.000 0.000
5 Er 0.951 0.353 0.825
6 Er 0.598 0.647 0.675
7 Pr 0.994 0.359 0.524
8 Pr 0.396 0.000 0.750
9 Pr 0.365 0.359 0.024
10 Pr 0.179 0.718 0.875
11 Pr 0.461 0.282 0.625
12 Pr 0.635 0.641 0.976
13 Pr 0.539 0.718 0.375
14 Pr 0.821 0.282 0.125
15 Pr 0.006 0.641 0.476
16 Pr 0.604 0.000 0.250
17 Nd 0.121 0.000 0.250
18 Nd 0.879 0.000 0.750

M_tot	0.0	μB per formula unit
D(E_F)	26.798	states/eV/cell
ΔH_f (0 K)	0.2754	eV per atom
calculated density	7.042	g cm⁻³



Number 1: total energy -31.9 eV/f.u.. Number 2: total energy -31.5 eV/f.u.. Number 3: total energy -33.6 eV/f.u.. Number 4: total energy -44.8 eV/f.u.. Number 5: total energy -24.3 eV/f.u.. Number 6: total energy -39.9 eV/f.u..